A plane-wave DFT calculation with PBE-GGA was carried out for NaTcSe2Br after structural relaxation.

The total energy is -3.129 eV per atom. The value obtained for the formation energy from raw total energies is 936.3 meV/atom. The energy relative to the lowest polymorph listed for this composition is 1210 meV/atom.

The space group is P4/mmm (No. 123) and the conventional cell measures 5.097, 5.097 and 5.277 Å, with angles of 90.00, 90.00 and 90.00 degrees. The distinct sites, in fractional coordinates, are Na at (0.000, 0.000, 0.000), Tc at (0.500, 0.500, 0.500), Se at (0.000, 0.500, 0.000) and Br at (0.000, 0.000, 0.500).